# 1
## HfZr2Os (PBE)

Data for HfZr2Os after structural relaxation.

Cell and atoms, written as extended XYZ:
```
8
Lattice="3.302 0.000 0.000 -1.651 5.482 0.000 0.000 0.000 9.270" Properties=species:S:1:pos:R:3 pbc="T T T"
Hf 1.651 4.714 2.318
Hf 0.000 0.768 6.953
Zr 0.000 4.021 5.105
Zr 1.651 1.461 4.166
Zr 1.651 1.461 0.470
Zr 0.000 4.021 8.801
Os 0.000 2.563 2.318
Os 1.651 2.918 6.953
```

Results
Formation energy: -0.9 eV per formula unit
Mass density: 10.91 g cm⁻³
Polymorph energy (0 for the lowest one): 0.20 eV/f.u.
Total moment: 0.00 μB per formula unit
Raw total energy: -78.434 eV for the cell shown

---

# 2
## HfZr2Os (PBE)

Data for HfZr2Os after structural relaxation.

Cell and atoms, written as extended XYZ:
```
8
Lattice="-1.208 0.776 4.403 -3.017 -3.508 -0.209 7.452 -3.359 0.197" Properties=species:S:1:pos:R:3 pbc="T T T"
Hf 0.083 -1.691 1.538
Hf 3.144 -4.399 2.853
Zr -1.990 -3.091 3.652
Zr 5.217 -2.999 0.739
Zr 3.122 -1.291 2.300
Zr 2.217 -3.433 -0.006
Os -2.565 -2.437 0.944
Os -1.660 -0.295 3.250
```

Results
Formation energy: -1.1 eV per formula unit
Mass density: 11.39 g cm⁻³
Polymorph energy (0 for the lowest one): 0.00 eV/f.u.
Total moment: 0.00 μB per formula unit
Raw total energy: -78.844 eV for the cell shown

---

# 3
## Hf4ZrOs (PBE)

Data for Hf4ZrOs after structural relaxation.

Cell and atoms, written as extended XYZ:
```
12
Lattice="-4.923 -2.595 -1.321 6.001 -2.525 -4.613 0.709 -1.867 7.013" Properties=species:S:1:pos:R:3 pbc="T T T"
Hf 1.492 -2.085 4.748
Hf 0.945 -4.979 0.169
Hf 2.985 -3.767 2.447
Hf 4.185 -4.482 -0.287
Hf -2.398 -2.504 1.366
Hf -1.198 -3.219 -1.368
Hf 0.842 -2.007 0.911
Hf 0.295 -4.902 -3.669
Zr 2.048 -2.896 -1.736
Zr -0.261 -4.090 2.815
Os -1.229 -0.656 -0.324
Os 3.016 -6.331 1.403
```

Results
Formation energy: -0.5 eV per formula unit
Mass density: 12.73 g cm⁻³
Polymorph energy (0 for the lowest one): 0.73 eV/f.u.
Total moment: 0.00 μB per formula unit
Raw total energy: -120.089 eV for the cell shown